Crystalline BaTi2Ru2 at its relaxed geometry. Source: the Alexandria database, functional PBE.

Lattice parameters (Å, degrees): 8.002 8.002 3.057 90.00 90.00 90.00
Sites, in units of the cell vectors:
Ba 0.000 0.000 0.000
Ba 0.500 0.500 0.000
Ti 0.130 0.370 0.500
Ti 0.370 0.870 0.500
Ti 0.630 0.130 0.500
Ti 0.870 0.630 0.500
Ru 0.137 0.637 0.000
Ru 0.363 0.137 0.000
Ru 0.637 0.863 0.000
Ru 0.863 0.363 0.000

Properties
ΔH_f (0 K) = 0.04 eV/atom
magnetic moment = 0.00 μB per cell
excess energy over the best structure of this formula in the dataset = 0.177 eV/atom